Ce3Y2ScTe6: relaxed, PBE.

density	6.487	g cm⁻³
N(E_F)	46.00	states/eV per cell
electronic total energy	-143.25	eV for the cell shown
ΔE_f (raw)	-1.31	eV/atom

abc: 19.2591 4.3543 8.8829
angles: 90.00 104.50 90.00
Space group C2/m (No. 12)
Symmetry-distinct sites (fractional):
Ce  0.0000  0.0000  0.0000 x2
Ce  0.1698  0.5000  0.3357 x4
Y  0.1661  0.5000  0.8329 x4
Sc  0.0000  0.0000  0.5000 x2
Te  0.0006  0.5000  0.7333 x4
Te  0.1591  0.0000  0.5864 x4
Te  0.1691  0.0000  0.0778 x4

LaAs2RuSe: relaxed, PBE.

density	4.348	g cm⁻³
N(E_F)	9.15	states/eV per cell
distance to the lowest polymorph of the same formula	1618	meV per atom
electronic total energy	-21.19	eV for the cell shown
ΔE_f (raw)	1.16	eV/atom

abc: 5.6507 5.6507 5.6067
angles: 90.00 90.00 90.00
Space group P4/mmm (No. 123)
Symmetry-distinct sites (fractional):
La  0.0000  0.0000  0.0000 x1
As  0.0000  0.5000  0.0000 x2
Ru  0.5000  0.5000  0.5000 x1
Se  0.0000  0.0000  0.5000 x1

Question: What is the N(E_F) in the first record?
Answer: 46.00 states/eV per cell

Question: Among the records above, which one has the highest ΔE_f (raw)?
Answer: LaAs2RuSe

Question: Which of these has the lowest ΔE_f (raw)?
Answer: Ce3Y2ScTe6